## LiV2Si2O8 (PBE with a Hubbard U)

Data for an optimized crystal structure of LiV2Si2O8.

Summary:
**Relative energy among the computed polymorphs**: 0.2 kJ per mole of atoms
**Calculated volume**: 279 Å³ per cell

Lattice parameters (Å, degrees): 4.8521 6.3983 8.9902 89.75 90.00 90.00
With the nearest neighbours (Å) after each atom.
Positions (direct):
Li 0.7728 0.7509 0.6659  4 O 1.98-2.12
Li 0.2272 0.7509 0.1659  4 O 1.98-2.12
V 0.7475 0.0017 0.9989  4 O 1.92-2.14
V 0.7432 0.4871 0.0002  4 O 1.80-2.01
V 0.2525 0.0017 0.4989  4 O 1.92-2.14
V 0.2568 0.4871 0.5002  4 O 1.80-2.01
Si 0.2741 0.7549 0.8225  4 O 1.61-1.67
Si 0.7740 0.2484 0.6777  4 O 1.63-1.67
Si 0.7259 0.7549 0.3225  4 O 1.61-1.67
Si 0.2260 0.2484 0.1777  4 O 1.63-1.67
O 0.4264 0.9637 0.8773  1 Si 1.61
O 0.4411 0.5532 0.8926  1 Si 1.65, 1 V 1.80
O 0.9489 0.7413 0.8783  1 Si 1.66
O 0.8236 0.2580 0.8612  1 Si 1.67
O 0.3394 0.7397 0.6400  1 Si 1.67
O 0.4516 0.2587 0.6133  1 Si 1.67
O 0.9324 0.4598 0.6131  1 Si 1.66
O 0.9196 0.0331 0.6234  1 Si 1.63
O 0.5736 0.9637 0.3773  1 Si 1.61
O 0.5589 0.5532 0.3926  1 Si 1.65, 1 V 1.80
O 0.0511 0.7413 0.3783  1 Si 1.66
O 0.1764 0.2580 0.3612  1 Si 1.67
O 0.6606 0.7397 0.1400  1 Si 1.67
O 0.5484 0.2587 0.1133  1 Si 1.67
O 0.0676 0.4598 0.1131  1 Si 1.66
O 0.0804 0.0331 0.1234  1 Si 1.63